[1]
AlTlCoW2: relaxed, PBE.

Lattice parameters (Å, degrees): 5.0806 5.0806 4.6781 90.00 90.00 90.00
With the nearest neighbours (Å) after each atom.
Positions (direct):
Al: 0.0000 0.0000 0.0000  2 Tl 2.34
Tl: 0.0000 0.0000 0.5000  2 Al 2.34, 4 W 2.54
Co: 0.5000 0.5000 0.0000  8 W 3.45, 4 Al 3.59
W: 0.0000 0.5000 0.5000  2 Tl 2.54
W: 0.5000 0.0000 0.5000  2 Tl 2.54

Formation energy: 2.96 eV/atom
Energy: -4.8601 eV per atom
Size of the total moment: 1.014 μB per atom
D(E_F): 6.5 states/eV/cell



[2]
AlTlZnCo2: relaxed, PBE.

Lattice parameters (Å, degrees): 4.8920 4.8920 5.0292 90.00 90.00 90.00
With the nearest neighbours (Å) after each atom.
Positions (direct):
Al: 0.0000 0.0000 0.0000  2 Tl 2.51
Tl: 0.0000 0.0000 0.5000  4 Co 2.45, 2 Al 2.51
Zn: 0.5000 0.5000 0.0000  4 Al 3.46, 8 Co 3.51
Co: 0.0000 0.5000 0.5000  2 Tl 2.45
Co: 0.5000 0.0000 0.5000  2 Tl 2.45

Formation energy: 1.47 eV/atom
Energy: -2.8538 eV per atom
Size of the total moment: 0.705 μB per atom
D(E_F): 5.7 states/eV/cell



[3]
Tm2AlCo3: relaxed, PBE.

Lattice parameters (Å, degrees): 5.2337 5.2337 7.8952 90.00 90.00 120.00
With the nearest neighbours (Å) after each atom.
Positions (direct):
Tm: 0.3333 0.6667 0.0627  9 Co 2.86-3.01, 4 Tm 2.96-3.18, 3 Al 3.06
Tm: 0.3333 0.6667 0.4373  9 Co 2.86-3.01, 4 Tm 2.96-3.18, 3 Al 3.06
Tm: 0.6667 0.3333 0.5627  9 Co 2.86-3.01, 4 Tm 2.96-3.18, 3 Al 3.06
Tm: 0.6667 0.3333 0.9373  9 Co 2.86-3.01, 4 Tm 2.96-3.18, 3 Al 3.06
Al: 0.0000 0.0000 0.0000  6 Co 2.52
Al: 0.0000 0.0000 0.5000  6 Co 2.52
Co: 0.1737 0.3474 0.7500  4 Co 2.51-2.73, 2 Al 2.52
Co: 0.1737 0.8263 0.7500  4 Co 2.51-2.73, 2 Al 2.52
Co: 0.3474 0.1737 0.2500  4 Co 2.51-2.73, 2 Al 2.52
Co: 0.6526 0.8263 0.7500  4 Co 2.51-2.73, 2 Al 2.52
Co: 0.8263 0.1737 0.2500  4 Co 2.51-2.73, 2 Al 2.52
Co: 0.8263 0.6526 0.2500  4 Co 2.51-2.73, 2 Al 2.52

Formation energy: -0.37 eV/atom
Energy: -6.0378 eV per atom
Size of the total moment: 0.202 μB per atom
D(E_F): 16.8 states/eV/cell



[4]
TmAl3Co: relaxed, PBE.

Lattice parameters (Å, degrees): 8.1334 3.9918 10.6004 90.00 90.00 90.00
With the nearest neighbours (Å) after each atom.
Positions (direct):
Tm: 0.1911 0.2500 0.0080  2 Co 2.97, 9 Al 3.01-3.29
Tm: 0.3089 0.7500 0.5080  2 Co 2.97, 9 Al 3.01-3.29
Tm: 0.6911 0.2500 0.4920  2 Co 2.97, 9 Al 3.01-3.29
Tm: 0.8089 0.7500 0.9920  2 Co 2.97, 9 Al 3.01-3.29
Al: 0.0491 0.2500 0.5821  3 Co 2.44-2.51, 1 Al 2.63
Al: 0.1044 0.7500 0.7802  2 Co 2.35-2.38
Al: 0.1523 0.7500 0.2236  2 Co 2.47, 1 Al 2.63
Al: 0.3477 0.2500 0.7236  2 Co 2.47, 1 Al 2.63
Al: 0.3956 0.2500 0.2802  2 Co 2.35-2.38
Al: 0.4509 0.7500 0.0821  3 Co 2.44-2.51, 1 Al 2.63
Al: 0.5491 0.2500 0.9179  3 Co 2.44-2.51, 1 Al 2.63
Al: 0.6044 0.7500 0.7198  2 Co 2.35-2.38
Al: 0.6523 0.7500 0.2764  2 Co 2.47, 1 Al 2.63
Al: 0.8477 0.2500 0.7764  2 Co 2.47, 1 Al 2.63
Al: 0.8956 0.2500 0.2198  2 Co 2.35-2.38
Al: 0.9509 0.7500 0.4179  3 Co 2.44-2.51, 1 Al 2.63
Co: 0.1217 0.2500 0.3585  7 Al 2.35-2.51
Co: 0.3783 0.7500 0.8585  7 Al 2.35-2.51
Co: 0.6217 0.2500 0.1415  7 Al 2.35-2.51
Co: 0.8783 0.7500 0.6415  7 Al 2.35-2.51

Formation energy: -0.53 eV/atom
Energy: -5.0942 eV per atom
Size of the total moment: 0.000 μB per atom
D(E_F): 7.3 states/eV/cell



[5]
Tm12AlCo5: relaxed, PBE.

Lattice parameters (Å, degrees): 8.1137 8.1137 8.1137 111.07 110.80 106.58
With the nearest neighbours (Å) after each atom.
Positions (direct):
Tm: 0.0129 0.8160 0.1969  3 Co 2.67-2.80
Tm: 0.2165 0.5245 0.3080  2 Co 2.68-2.74
Tm: 0.2165 0.9084 0.6920  2 Co 2.68-2.74
Tm: 0.2882 0.3140 0.6022  2 Co 2.82
Tm: 0.2882 0.6860 0.9743  2 Co 2.82
Tm: 0.3809 0.1840 0.1969  3 Co 2.67-2.80
Tm: 0.6191 0.8160 0.8031  3 Co 2.67-2.80
Tm: 0.7118 0.3140 0.0257  2 Co 2.82
Tm: 0.7118 0.6860 0.3978  2 Co 2.82
Tm: 0.7835 0.0916 0.3080  2 Co 2.68-2.74
Tm: 0.7835 0.4755 0.6920  2 Co 2.68-2.74
Tm: 0.9871 0.1840 0.8031  3 Co 2.67-2.80
Al: 0.5000 0.0000 0.5000  12 Tm 3.27-3.48
Co: 0.0000 0.1258 0.1258  1 Co 2.31
Co: 0.0000 0.5000 0.5000  4 Tm 2.74
Co: 0.0000 0.8742 0.8742  1 Co 2.31
Co: 0.3861 0.3861 0.0000  1 Co 2.21
Co: 0.6139 0.6139 0.0000  1 Co 2.21

Formation energy: -0.26 eV/atom
Energy: -5.4227 eV per atom
Size of the total moment: 0.000 μB per atom
D(E_F): 14.6 states/eV/cell



[6]
Tm4Al3Co: relaxed, PBE.

Lattice parameters (Å, degrees): 3.4271 3.4271 14.5215 90.00 90.00 90.00
With the nearest neighbours (Å) after each atom.
Positions (direct):
Tm: 0.0000 0.0000 0.1091  4 Co 2.90, 4 Al 3.08, 1 Tm 3.17
Tm: 0.0000 0.0000 0.3691  8 Al 3.07-3.08, 4 Tm 3.43
Tm: 0.0000 0.0000 0.6309  8 Al 3.07-3.08, 4 Tm 3.43
Tm: 0.0000 0.0000 0.8909  4 Co 2.90, 4 Al 3.08, 1 Tm 3.17
Al: 0.5000 0.5000 0.2398  8 Tm 3.07-3.08, 4 Al 3.43
Al: 0.5000 0.5000 0.5000  8 Tm 3.08, 4 Al 3.43
Al: 0.5000 0.5000 0.7602  8 Tm 3.07-3.08, 4 Al 3.43
Co: 0.5000 0.5000 0.0000  8 Tm 2.90

Formation energy: -0.36 eV/atom
Energy: -4.8899 eV per atom
Size of the total moment: 0.082 μB per atom
D(E_F): 3.4 states/eV/cell



[7]
TmAl2Co9: relaxed, PBE.

Lattice parameters (Å, degrees): 8.0252 8.0252 4.6783 90.00 90.00 90.00
With the nearest neighbours (Å) after each atom.
Positions (direct):
Tm: 0.0000 0.0000 0.0000  16 Co 2.93-3.16, 4 Al 3.19
Tm: 0.5000 0.5000 0.0000  16 Co 2.93-3.16, 4 Al 3.19
Al: 0.1212 0.3788 0.0000  12 Co 2.55-2.74, 1 Al 2.75
Al: 0.3788 0.8788 0.0000  12 Co 2.55-2.74, 1 Al 2.75
Al: 0.6212 0.1212 0.0000  12 Co 2.55-2.74, 1 Al 2.75
Al: 0.8788 0.6212 0.0000  12 Co 2.55-2.74, 1 Al 2.75
Co: 0.0000 0.5000 0.5000  8 Co 2.35-2.39
Co: 0.0672 0.2093 0.5000  8 Co 2.39-2.54
Co: 0.1762 0.6762 0.2345  4 Co 2.19-2.42
Co: 0.1762 0.6762 0.7655  4 Co 2.19-2.42
Co: 0.2093 0.9328 0.5000  8 Co 2.39-2.54
Co: 0.2907 0.4328 0.5000  8 Co 2.39-2.54
Co: 0.3238 0.1762 0.2345  4 Co 2.19-2.42
Co: 0.3238 0.1762 0.7655  4 Co 2.19-2.42
Co: 0.4328 0.7093 0.5000  8 Co 2.39-2.54
Co: 0.5000 0.0000 0.5000  8 Co 2.35-2.39
Co: 0.5672 0.2907 0.5000  8 Co 2.39-2.54
Co: 0.6762 0.8238 0.2345  4 Co 2.19-2.42
Co: 0.6762 0.8238 0.7655  4 Co 2.19-2.42
Co: 0.7093 0.5672 0.5000  8 Co 2.39-2.54
Co: 0.7907 0.0672 0.5000  8 Co 2.39-2.54
Co: 0.8238 0.3238 0.2345  4 Co 2.19-2.42
Co: 0.8238 0.3238 0.7655  4 Co 2.19-2.42
Co: 0.9328 0.7907 0.5000  8 Co 2.39-2.54

Formation energy: -0.25 eV/atom
Energy: -6.5801 eV per atom
Size of the total moment: 0.885 μB per atom
D(E_F): 28.8 states/eV/cell



[8]
Tm6Al2Co: relaxed, PBE.

Lattice parameters (Å, degrees): 6.7199 6.9635 12.0630 90.00 123.77 90.00
With the nearest neighbours (Å) after each atom.
Positions (direct):
Tm: 0.1638 0.2003 0.4728  1 Co 2.52
Tm: 0.1638 0.2997 0.9728  1 Co 2.52
Tm: 0.2708 0.6935 0.4689  1 Co 2.53
Tm: 0.2708 0.8065 0.9689  1 Co 2.53
Tm: 0.3155 0.0000 0.2490  1 Co 2.56
Tm: 0.3155 0.5000 0.7490  1 Co 2.56
Tm: 0.6845 0.0000 0.7510  1 Co 2.56
Tm: 0.6845 0.5000 0.2510  1 Co 2.56
Tm: 0.7292 0.1935 0.0311  1 Co 2.53
Tm: 0.7292 0.3065 0.5311  1 Co 2.53
Tm: 0.8362 0.7003 0.0272  1 Co 2.52
Tm: 0.8362 0.7997 0.5272  1 Co 2.52
Al: 0.2203 0.0614 0.7502  8 Tm 3.04-3.35
Al: 0.2203 0.4386 0.2502  8 Tm 3.04-3.35
Al: 0.7797 0.5614 0.7498  8 Tm 3.04-3.35
Al: 0.7797 0.9386 0.2498  8 Tm 3.04-3.35
Co: 0.5000 0.0000 0.5000  6 Tm 2.52-2.56
Co: 0.5000 0.5000 0.0000  6 Tm 2.52-2.56

Formation energy: -0.16 eV/atom
Energy: -4.7588 eV per atom
Size of the total moment: 0.000 μB per atom
D(E_F): 15.8 states/eV/cell



[9]
Tm3Al5Co2: relaxed, PBE.

Lattice parameters (Å, degrees): 9.4113 9.4113 4.0736 90.00 90.00 90.00
With the nearest neighbours (Å) after each atom.
Positions (direct):
Tm: 0.0000 0.0000 0.0000  8 Al 3.01
Tm: 0.1754 0.3246 0.0000  3 Co 2.77-2.80, 2 Al 3.10
Tm: 0.3246 0.8246 0.0000  3 Co 2.77-2.80, 2 Al 3.10
Tm: 0.5000 0.5000 0.0000  8 Al 3.01
Tm: 0.6754 0.1754 0.0000  3 Co 2.77-2.80, 2 Al 3.10
Tm: 0.8246 0.6754 0.0000  3 Co 2.77-2.80, 2 Al 3.10
Al: 0.0000 0.5000 0.5000  4 Co 2.56, 4 Al 2.67
Al: 0.0689 0.7751 0.5000  2 Co 2.57, 2 Al 2.67-2.75
Al: 0.2249 0.0689 0.5000  2 Co 2.57, 2 Al 2.67-2.75
Al: 0.2751 0.5689 0.5000  2 Co 2.57, 2 Al 2.67-2.75
Al: 0.4311 0.2751 0.5000  2 Co 2.57, 2 Al 2.67-2.75
Al: 0.5000 0.0000 0.5000  4 Co 2.56, 4 Al 2.67
Al: 0.5689 0.7249 0.5000  2 Co 2.57, 2 Al 2.67-2.75
Al: 0.7249 0.4311 0.5000  2 Co 2.57, 2 Al 2.67-2.75
Al: 0.7751 0.9311 0.5000  2 Co 2.57, 2 Al 2.67-2.75
Al: 0.9311 0.2249 0.5000  2 Co 2.57, 2 Al 2.67-2.75
Co: 0.1164 0.6164 0.0000  6 Al 2.56-2.57, 3 Tm 2.77-2.80
Co: 0.3836 0.1164 0.0000  6 Al 2.56-2.57, 3 Tm 2.77-2.80
Co: 0.6164 0.8836 0.0000  6 Al 2.56-2.57, 3 Tm 2.77-2.80
Co: 0.8836 0.3836 0.0000  6 Al 2.56-2.57, 3 Tm 2.77-2.80

Formation energy: -0.53 eV/atom
Energy: -5.1611 eV per atom
Size of the total moment: 0.000 μB per atom
D(E_F): 11.0 states/eV/cell



[10]
Tm6AlCo2: relaxed, PBE.

Lattice parameters (Å, degrees): 8.1699 8.1699 8.1699 112.09 110.15 106.23
With the nearest neighbours (Å) after each atom.
Positions (direct):
Tm: 0.0403 0.2392 0.8012  1 Co 2.65
Tm: 0.1828 0.2824 0.4652  3 Co 2.86-2.93, 1 Al 3.09
Tm: 0.1828 0.7176 0.9003  3 Co 2.86-2.93, 1 Al 3.09
Tm: 0.3249 0.0136 0.6887  3 Co 2.68-2.90
Tm: 0.3249 0.6362 0.3113  3 Co 2.68-2.90
Tm: 0.4380 0.2392 0.1988  1 Co 2.65
Tm: 0.5620 0.7608 0.8012  1 Co 2.65
Tm: 0.6751 0.3638 0.6887  3 Co 2.68-2.90
Tm: 0.6751 0.9864 0.3113  3 Co 2.68-2.90
Tm: 0.8172 0.2824 0.0997  3 Co 2.86-2.93, 1 Al 3.09
Tm: 0.8172 0.7176 0.5348  3 Co 2.86-2.93, 1 Al 3.09
Tm: 0.9597 0.7608 0.1988  1 Co 2.65
Al: 0.0000 0.0000 0.0000  8 Tm 2.99-3.09, 2 Co 3.09
Al: 0.5000 0.5000 0.0000  8 Tm 3.16-3.32
Co: 0.1158 0.6158 0.5000  1 Co 2.27
Co: 0.3306 0.0000 0.3306  8 Tm 2.65-2.93
Co: 0.6694 0.0000 0.6694  8 Tm 2.65-2.93
Co: 0.8842 0.3842 0.5000  1 Co 2.27

Formation energy: -0.29 eV/atom
Energy: -5.2612 eV per atom
Size of the total moment: 0.000 μB per atom
D(E_F): 15.2 states/eV/cell



[11]
Tm4Al12Co: relaxed, PBE.

Lattice parameters (Å, degrees): 7.3802 7.3802 7.3802 109.47 109.47 109.47
With the nearest neighbours (Å) after each atom.
Positions (direct):
Tm: 0.0000 0.0000 0.5000  12 Al 3.01-3.02
Tm: 0.0000 0.5000 0.0000  12 Al 3.01-3.02
Tm: 0.5000 0.0000 0.0000  12 Al 3.01-3.02
Tm: 0.5000 0.5000 0.5000  12 Al 3.01-3.02
Al: 0.0000 0.2777 0.2777  1 Co 2.37
Al: 0.0000 0.7223 0.7223  1 Co 2.37
Al: 0.2500 0.5000 0.7500  8 Al 2.85-3.01, 4 Tm 3.01
Al: 0.2500 0.7500 0.5000  8 Al 2.85-3.01, 4 Tm 3.01
Al: 0.2777 0.0000 0.2777  1 Co 2.37
Al: 0.2777 0.2777 0.0000  1 Co 2.37
Al: 0.5000 0.2500 0.7500  8 Al 2.85-3.01, 4 Tm 3.01
Al: 0.5000 0.7500 0.2500  8 Al 2.85-3.01, 4 Tm 3.01
Al: 0.7223 0.0000 0.7223  1 Co 2.37
Al: 0.7223 0.7223 0.0000  1 Co 2.37
Al: 0.7500 0.2500 0.5000  8 Al 2.85-3.01, 4 Tm 3.01
Al: 0.7500 0.5000 0.2500  8 Al 2.85-3.01, 4 Tm 3.01
Co: 0.0000 0.0000 0.0000  6 Al 2.37

Formation energy: -0.46 eV/atom
Energy: -4.5737 eV per atom
Size of the total moment: 0.000 μB per atom
D(E_F): 8.5 states/eV/cell



[12]
Tm3Al2Co7: relaxed, PBE.

Lattice parameters (Å, degrees): 8.2991 8.2991 8.2991 35.89 35.89 35.89
With the nearest neighbours (Å) after each atom.
Positions (direct):
Tm: 0.0000 0.0000 0.0000  6 Al 2.95, 12 Co 3.21, 2 Tm 3.26
Tm: 0.1401 0.1401 0.1401  12 Co 2.87-3.02, 3 Tm 3.20
Tm: 0.8599 0.8599 0.8599  12 Co 2.87-3.02, 3 Tm 3.20
Al: 0.3337 0.3337 0.3337  6 Co 2.44-2.45
Al: 0.6663 0.6663 0.6663  6 Co 2.44-2.45
Co: 0.0828 0.5842 0.5842  5 Co 2.43-2.56, 2 Al 2.44-2.45
Co: 0.4158 0.4158 0.9172  5 Co 2.43-2.56, 2 Al 2.44-2.45
Co: 0.4158 0.9172 0.4158  5 Co 2.43-2.56, 2 Al 2.44-2.45
Co: 0.5000 0.5000 0.5000  6 Co 2.43
Co: 0.5842 0.0828 0.5842  5 Co 2.43-2.56, 2 Al 2.44-2.45
Co: 0.5842 0.5842 0.0828  5 Co 2.43-2.56, 2 Al 2.44-2.45
Co: 0.9172 0.4158 0.4158  5 Co 2.43-2.56, 2 Al 2.44-2.45

Formation energy: -0.36 eV/atom
Energy: -6.2481 eV per atom
Size of the total moment: 0.399 μB per atom
D(E_F): 13.8 states/eV/cell